A:
# Ce2PuAg | Alexandria | GGA-PBE | optimized geometry
data_Ce2PuAg
_chemical_formula_sum 'Ce2 Pu1 Ag1'
_cell_length_a 5.429
_cell_length_b 5.429
_cell_length_c 3.320
_cell_angle_alpha 90.00
_cell_angle_beta 90.00
_cell_angle_gamma 90.00
_symmetry_space_group_name_H-M 'P 1'
_symmetry_Int_Tables_number 1
loop_
_symmetry_equiv_pos_as_xyz
'x,y,z'
loop_
_atom_site_label
_atom_site_type_symbol
_atom_site_fract_x
_atom_site_fract_y
_atom_site_fract_z
_atom_site_occupancy
Ce1 Ce 0.000 0.500 0.000 1
Ce2 Ce 0.500 0.000 0.000 1
Pu1 Pu 0.000 0.000 0.500 1
Ag1 Ag 0.500 0.500 0.500 1
# crystal system	tetragonal

B:
# Ce2PuAg | Alexandria | GGA-PBE | optimized geometry
data_Ce2PuAg
_chemical_formula_sum 'Ce2 Pu1 Ag1'
_cell_length_a 5.219
_cell_length_b 5.219
_cell_length_c 5.219
_cell_angle_alpha 60.00
_cell_angle_beta 60.00
_cell_angle_gamma 60.00
_symmetry_space_group_name_H-M 'P 1'
_symmetry_Int_Tables_number 1
loop_
_symmetry_equiv_pos_as_xyz
'x,y,z'
loop_
_atom_site_label
_atom_site_type_symbol
_atom_site_fract_x
_atom_site_fract_y
_atom_site_fract_z
_atom_site_occupancy
Ce1 Ce 0.250 0.250 0.250 1
Ce2 Ce 0.750 0.750 0.750 1
Pu1 Pu 0.000 0.000 0.000 1
Ag1 Ag 0.500 0.500 0.500 1
# crystal system	cubic

What should be chosen as the most stable of them? Choose A.

A:
# CePuAg | Alexandria | GGA-PBE | optimized geometry
data_CePuAg
_chemical_formula_sum 'Ce2 Pu2 Ag2'
_cell_length_a 5.289
_cell_length_b 5.289
_cell_length_c 5.814
_cell_angle_alpha 90.00
_cell_angle_beta 90.00
_cell_angle_gamma 124.93
_symmetry_space_group_name_H-M 'P 1'
_symmetry_Int_Tables_number 1
loop_
_symmetry_equiv_pos_as_xyz
'x,y,z'
loop_
_atom_site_label
_atom_site_type_symbol
_atom_site_fract_x
_atom_site_fract_y
_atom_site_fract_z
_atom_site_occupancy
Ce1 Ce 0.170 0.830 0.750 1
Ce2 Ce 0.830 0.170 0.250 1
Pu1 Pu 0.182 0.818 0.250 1
Pu2 Pu 0.818 0.182 0.750 1
Ag1 Ag 0.500 0.500 0.000 1
Ag2 Ag 0.500 0.500 0.500 1
# crystal system	orthorhombic

B:
# CePuAg | Alexandria | GGA-PBE | optimized geometry
data_CePuAg
_chemical_formula_sum 'Ce2 Pu2 Ag2'
_cell_length_a 7.444
_cell_length_b 7.444
_cell_length_c 5.257
_cell_angle_alpha 90.00
_cell_angle_beta 90.00
_cell_angle_gamma 150.55
_symmetry_space_group_name_H-M 'P 1'
_symmetry_Int_Tables_number 1
loop_
_symmetry_equiv_pos_as_xyz
'x,y,z'
loop_
_atom_site_label
_atom_site_type_symbol
_atom_site_fract_x
_atom_site_fract_y
_atom_site_fract_z
_atom_site_occupancy
Ce1 Ce 0.098 0.902 0.750 1
Ce2 Ce 0.902 0.098 0.250 1
Pu1 Pu 0.265 0.735 0.250 1
Pu2 Pu 0.735 0.265 0.750 1
Ag1 Ag 0.415 0.585 0.750 1
Ag2 Ag 0.585 0.415 0.250 1
# crystal system	orthorhombic

C:
# CePuAg | Alexandria | GGA-PBE | optimized geometry
data_CePuAg
_chemical_formula_sum 'Ce1 Pu1 Ag1'
_cell_length_a 5.109
_cell_length_b 5.109
_cell_length_c 2.976
_cell_angle_alpha 90.00
_cell_angle_beta 90.00
_cell_angle_gamma 120.00
_symmetry_space_group_name_H-M 'P 1'
_symmetry_Int_Tables_number 1
loop_
_symmetry_equiv_pos_as_xyz
'x,y,z'
loop_
_atom_site_label
_atom_site_type_symbol
_atom_site_fract_x
_atom_site_fract_y
_atom_site_fract_z
_atom_site_occupancy
Ce1 Ce 0.000 0.000 0.000 1
Pu1 Pu 0.667 0.333 0.000 1
Ag1 Ag 0.333 0.667 0.500 1
# crystal system	hexagonal

What should be chosen as the most stable of them? Choose A.

A:
# CePuAgRh | Alexandria | GGA-PBE | optimized geometry
data_CePuAgRh
_chemical_formula_sum 'Ce1 Pu1 Ag1 Rh1'
_cell_length_a 5.040
_cell_length_b 5.040
_cell_length_c 5.040
_cell_angle_alpha 60.00
_cell_angle_beta 60.00
_cell_angle_gamma 60.00
_symmetry_space_group_name_H-M 'P 1'
_symmetry_Int_Tables_number 1
loop_
_symmetry_equiv_pos_as_xyz
'x,y,z'
loop_
_atom_site_label
_atom_site_type_symbol
_atom_site_fract_x
_atom_site_fract_y
_atom_site_fract_z
_atom_site_occupancy
Ce1 Ce 0.000 0.000 0.000 1
Pu1 Pu 0.500 0.500 0.500 1
Ag1 Ag 0.250 0.250 0.250 1
Rh1 Rh 0.750 0.750 0.750 1
# crystal system	cubic

B:
# CePuAgRh | Alexandria | GGA-PBE | optimized geometry
data_CePuAgRh
_chemical_formula_sum 'Ce1 Pu1 Ag1 Rh1'
_cell_length_a 4.823
_cell_length_b 4.823
_cell_length_c 4.823
_cell_angle_alpha 60.00
_cell_angle_beta 60.00
_cell_angle_gamma 60.00
_symmetry_space_group_name_H-M 'P 1'
_symmetry_Int_Tables_number 1
loop_
_symmetry_equiv_pos_as_xyz
'x,y,z'
loop_
_atom_site_label
_atom_site_type_symbol
_atom_site_fract_x
_atom_site_fract_y
_atom_site_fract_z
_atom_site_occupancy
Ce1 Ce 0.000 0.000 0.000 1
Pu1 Pu 0.750 0.750 0.750 1
Ag1 Ag 0.500 0.500 0.500 1
Rh1 Rh 0.250 0.250 0.250 1
# crystal system	cubic

What should be chosen as the most stable of them? Choose B.

A:
# CePuAgSn | Alexandria | GGA-PBE | optimized geometry
data_CePuAgSn
_chemical_formula_sum 'Ce1 Pu1 Ag1 Sn1'
_cell_length_a 5.333
_cell_length_b 5.333
_cell_length_c 5.333
_cell_angle_alpha 60.00
_cell_angle_beta 60.00
_cell_angle_gamma 60.00
_symmetry_space_group_name_H-M 'P 1'
_symmetry_Int_Tables_number 1
loop_
_symmetry_equiv_pos_as_xyz
'x,y,z'
loop_
_atom_site_label
_atom_site_type_symbol
_atom_site_fract_x
_atom_site_fract_y
_atom_site_fract_z
_atom_site_occupancy
Ce1 Ce 0.000 0.000 0.000 1
Pu1 Pu 0.500 0.500 0.500 1
Ag1 Ag 0.250 0.250 0.250 1
Sn1 Sn 0.750 0.750 0.750 1
# crystal system	cubic

B:
# CePuAgSn | Alexandria | GGA-PBE | optimized geometry
data_CePuAgSn
_chemical_formula_sum 'Ce1 Pu1 Ag1 Sn1'
_cell_length_a 4.499
_cell_length_b 4.588
_cell_length_c 4.777
_cell_angle_alpha 90.00
_cell_angle_beta 90.00
_cell_angle_gamma 90.00
_symmetry_space_group_name_H-M 'P 1'
_symmetry_Int_Tables_number 1
loop_
_symmetry_equiv_pos_as_xyz
'x,y,z'
loop_
_atom_site_label
_atom_site_type_symbol
_atom_site_fract_x
_atom_site_fract_y
_atom_site_fract_z
_atom_site_occupancy
Ce1 Ce 0.000 0.000 0.000 1
Pu1 Pu 0.500 0.500 0.000 1
Ag1 Ag 0.500 0.000 0.500 1
Sn1 Sn 0.000 0.500 0.500 1
# crystal system	orthorhombic

What should be chosen as the most stable of them? Choose B.

A:
# CeAg2S3 | Alexandria | GGA-PBE | optimized geometry
data_CeAg2S3
_chemical_formula_sum 'Ce2 Ag4 S6'
_cell_length_a 7.555
_cell_length_b 7.555
_cell_length_c 5.165
_cell_angle_alpha 90.00
_cell_angle_beta 90.00
_cell_angle_gamma 113.24
_symmetry_space_group_name_H-M 'P 1'
_symmetry_Int_Tables_number 1
loop_
_symmetry_equiv_pos_as_xyz
'x,y,z'
loop_
_atom_site_label
_atom_site_type_symbol
_atom_site_fract_x
_atom_site_fract_y
_atom_site_fract_z
_atom_site_occupancy
Ce1 Ce 0.237 0.763 0.750 1
Ce2 Ce 0.763 0.237 0.250 1
Ag1 Ag 0.220 0.220 0.000 1
Ag2 Ag 0.220 0.220 0.500 1
Ag3 Ag 0.780 0.780 0.000 1
Ag4 Ag 0.780 0.780 0.500 1
S1 S 0.122 0.878 0.250 1
S2 S 0.149 0.472 0.250 1
S3 S 0.472 0.149 0.750 1
S4 S 0.528 0.851 0.250 1
S5 S 0.851 0.528 0.750 1
S6 S 0.878 0.122 0.750 1
# crystal system	orthorhombic

B:
# CeAg2S3 | Alexandria | GGA-PBE | optimized geometry
data_CeAg2S3
_chemical_formula_sum 'Ce1 Ag2 S3'
_cell_length_a 6.598
_cell_length_b 6.598
_cell_length_c 4.225
_cell_angle_alpha 90.00
_cell_angle_beta 90.00
_cell_angle_gamma 130.68
_symmetry_space_group_name_H-M 'P 1'
_symmetry_Int_Tables_number 1
loop_
_symmetry_equiv_pos_as_xyz
'x,y,z'
loop_
_atom_site_label
_atom_site_type_symbol
_atom_site_fract_x
_atom_site_fract_y
_atom_site_fract_z
_atom_site_occupancy
Ce1 Ce 0.000 0.000 0.000 1
Ag1 Ag 0.365 0.635 0.502 1
Ag2 Ag 0.635 0.365 0.502 1
S1 S 0.148 0.852 0.500 1
S2 S 0.500 0.500 0.001 1
S3 S 0.852 0.148 0.500 1
# crystal system	orthorhombic

What should be chosen as the most stable of them? Choose B.

A:
# Ce2SmAg | Alexandria | GGA-PBE | optimized geometry
data_Ce2SmAg
_chemical_formula_sum 'Ce2 Sm1 Ag1'
_cell_length_a 3.462
_cell_length_b 3.462
_cell_length_c 9.449
_cell_angle_alpha 90.00
_cell_angle_beta 90.00
_cell_angle_gamma 90.00
_symmetry_space_group_name_H-M 'P 1'
_symmetry_Int_Tables_number 1
loop_
_symmetry_equiv_pos_as_xyz
'x,y,z'
loop_
_atom_site_label
_atom_site_type_symbol
_atom_site_fract_x
_atom_site_fract_y
_atom_site_fract_z
_atom_site_occupancy
Ce1 Ce 0.000 0.000 0.224 1
Ce2 Ce 0.000 0.000 0.776 1
Sm1 Sm 0.500 0.500 0.500 1
Ag1 Ag 0.500 0.500 0.000 1
# crystal system	tetragonal

B:
# Ce2SmAg | Alexandria | GGA-PBE | optimized geometry
data_Ce2SmAg
_chemical_formula_sum 'Ce2 Sm1 Ag1'
_cell_length_a 5.366
_cell_length_b 5.366
_cell_length_c 5.366
_cell_angle_alpha 60.00
_cell_angle_beta 60.00
_cell_angle_gamma 60.00
_symmetry_space_group_name_H-M 'P 1'
_symmetry_Int_Tables_number 1
loop_
_symmetry_equiv_pos_as_xyz
'x,y,z'
loop_
_atom_site_label
_atom_site_type_symbol
_atom_site_fract_x
_atom_site_fract_y
_atom_site_fract_z
_atom_site_occupancy
Ce1 Ce 0.250 0.250 0.250 1
Ce2 Ce 0.750 0.750 0.750 1
Sm1 Sm 0.000 0.000 0.000 1
Ag1 Ag 0.500 0.500 0.500 1
# crystal system	cubic

What should be chosen as the most stable of them? Choose A.